# ZrTaMo | Alexandria via LeMat-Bulk | GGA-PBE | relaxed
# energy above the lowest structure with this stoichiometry = 70.9 meV per atom
# formation energy = -0.04 eV/atom
# total magnetization = 0.00 μB/f.u.
# crystal system = tetragonal
data_ZrTaMo
_symmetry_space_group_name_H-M 'I 4 m m'
_symmetry_Int_Tables_number 107
_symmetry_space_group_name_Hall 'I 4 -2'
_cell_length_a 3.311
_cell_length_b 3.311
_cell_length_c 10.289
_cell_angle_alpha 90.00
_cell_angle_beta 90.00
_cell_angle_gamma 90.00
loop_
_atom_site_label
_atom_site_fract_x
_atom_site_fract_y
_atom_site_fract_z
Zr1 0.000 0.000 0.000
Ta1 0.000 0.000 0.691
Mo1 0.000 0.000 0.329